# Mg4AlAg15, optimized geometry, DFT GGA-PBE
# Size of the total moment = 0.000 μB per cell
# ΔH_f (0 K) = -129.9 meV/atom
# Volume = 356.2 Å³ per cell
# Final energy = -2.774 eV per atom
data_Mg4AlAg15
_cell_length_a 4.1186
_cell_length_b 4.1186
_cell_length_c 21.0018
_cell_angle_alpha 90.00
_cell_angle_beta 90.00
_cell_angle_gamma 90.00
_symmetry_space_group_name_H-M 'P 1'
_symmetry_Int_Tables_number 1
loop_
_symmetry_equiv_pos_as_xyz
'x,y,z'
loop_
_atom_site_label
_atom_site_type_symbol
_atom_site_fract_x
_atom_site_fract_y
_atom_site_fract_z
Ag1 Ag 0.5000 0.0000 0.7025
Ag2 Ag 0.5000 0.5000 0.0000
Mg1 Mg 0.0000 0.0000 0.6010
Ag3 Ag 0.5000 0.0000 0.2975
Ag4 Ag 0.0000 0.5000 0.5000
Ag5 Ag 0.5000 0.0000 0.0960
Al1 Al 0.0000 0.0000 0.0000
Ag6 Ag 0.0000 0.5000 0.9040
Ag7 Ag 0.5000 0.5000 0.3987
Ag8 Ag 0.0000 0.5000 0.7025
Mg2 Mg 0.0000 0.0000 0.8037
Mg3 Mg 0.0000 0.0000 0.3990
Ag9 Ag 0.5000 0.5000 0.6013
Ag10 Ag 0.5000 0.0000 0.5000
Ag11 Ag 0.5000 0.5000 0.1966
Ag12 Ag 0.5000 0.5000 0.8034
Ag13 Ag 0.0000 0.5000 0.2975
Ag14 Ag 0.5000 0.0000 0.9040
Ag15 Ag 0.0000 0.5000 0.0960
Mg4 Mg 0.0000 0.0000 0.1963

# Pm3Pr4Ho2, optimized geometry, DFT GGA-PBE
# Size of the total moment = 0.000 μB per cell
# Energy above the lowest structure with this stoichiometry = 0.00 kJ per mole of atoms
# ΔH_f (0 K) = 15.5 meV/atom
# Volume = 309.8 Å³ per cell
# Final energy = -4.710 eV per atom
data_Pm3Pr4Ho2
_cell_length_a 6.3206
_cell_length_b 6.3230
_cell_length_c 13.1403
_cell_angle_alpha 118.61
_cell_angle_beta 103.85
_cell_angle_gamma 120.05
_symmetry_space_group_name_H-M 'P 1'
_symmetry_Int_Tables_number 1
loop_
_symmetry_equiv_pos_as_xyz
'x,y,z'
loop_
_atom_site_label
_atom_site_type_symbol
_atom_site_fract_x
_atom_site_fract_y
_atom_site_fract_z
Pm1 Pm 0.4465 0.8900 0.3352
Ho1 Ho 0.7803 0.5597 0.3353
Pr1 Pr 0.8882 0.7765 0.6653
Pr2 Pr 0.6658 0.3309 0.9999
Pr3 Pr 0.3342 0.6691 0.0001
Pm2 Pm 0.0000 0.0000 0.0000
Ho2 Ho 0.2197 0.4403 0.6647
Pr4 Pr 0.1118 0.2235 0.3347
Pm3 Pm 0.5535 0.1100 0.6648

# Pu2AgBr6, optimized geometry, DFT GGA-PBE
# E_form (uncorrected) = -1.223 eV/atom
# Size of the total moment = 11.000 μB per cell
# Volume = 352.1 Å³ per cell
# Final energy = -5.840 eV per atom
data_Pu2AgBr6
_cell_length_a 7.5431
_cell_length_b 7.5431
_cell_length_c 8.3690
_cell_angle_alpha 63.21
_cell_angle_beta 63.21
_cell_angle_gamma 60.00
_symmetry_space_group_name_H-M 'P 1'
_symmetry_Int_Tables_number 1
loop_
_symmetry_equiv_pos_as_xyz
'x,y,z'
loop_
_atom_site_label
_atom_site_type_symbol
_atom_site_fract_x
_atom_site_fract_y
_atom_site_fract_z
Br1 Br 0.8714 0.5199 0.3885
Pu1 Pu 0.2849 0.2849 0.1454
Br2 Br 0.2203 0.8714 0.3885
Br3 Br 0.6651 0.0728 0.8873
Br4 Br 0.0728 0.3747 0.8873
Ag1 Ag 0.8683 0.8683 0.3952
Br5 Br 0.3747 0.6651 0.8873
Pu2 Pu 0.4570 0.4570 0.6291
Br6 Br 0.5199 0.2203 0.3885

# Fe3Ni2Pt4, optimized geometry, DFT GGA-PBE
# Size of the total moment = 11.421 μB per cell
# ΔH_f (0 K) = -200.1 meV/atom
# Volume = 122.4 Å³ per cell
# Final energy = -6.990 eV per atom
data_Fe3Ni2Pt4
_cell_length_a 3.8333
_cell_length_b 4.5862
_cell_length_c 8.0055
_cell_angle_alpha 74.70
_cell_angle_beta 90.00
_cell_angle_gamma 65.30
_symmetry_space_group_name_H-M 'P 1'
_symmetry_Int_Tables_number 1
loop_
_symmetry_equiv_pos_as_xyz
'x,y,z'
loop_
_atom_site_label
_atom_site_type_symbol
_atom_site_fract_x
_atom_site_fract_y
_atom_site_fract_z
Ni1 Ni 0.6739 0.6523 0.2313
Fe1 Fe 0.0000 0.0000 0.0000
Ni2 Ni 0.3261 0.3477 0.7687
Pt1 Pt 0.6654 0.6691 0.8890
Pt2 Pt 0.3346 0.3309 0.1110
Pt3 Pt 0.9892 0.0216 0.6649
Fe2 Fe 0.3341 0.3318 0.4418
Fe3 Fe 0.6659 0.6682 0.5582
Pt4 Pt 0.0108 0.9784 0.3351

# InTeW4, optimized geometry, DFT GGA-PBE
# E_form (uncorrected) = 0.758 eV/atom
# Size of the total moment = 0.000 μB per cell
# Volume = 114.4 Å³ per cell
# Final energy = -8.858 eV per atom
data_InTeW4
_cell_length_a 5.4496
_cell_length_b 5.4496
_cell_length_c 5.4496
_cell_angle_alpha 60.00
_cell_angle_beta 60.00
_cell_angle_gamma 60.00
_symmetry_space_group_name_H-M 'P 1'
_symmetry_Int_Tables_number 1
loop_
_symmetry_equiv_pos_as_xyz
'x,y,z'
loop_
_atom_site_label
_atom_site_type_symbol
_atom_site_fract_x
_atom_site_fract_y
_atom_site_fract_z
W1 W 0.3754 0.3754 0.8738
In1 In 0.7500 0.7500 0.7500
W2 W 0.8738 0.3754 0.3754
Te1 Te 0.0000 0.0000 0.0000
W3 W 0.3754 0.3754 0.3754
W4 W 0.3754 0.8738 0.3754

# CuSi2P, optimized geometry, DFT GGA-PBE
# E_form (uncorrected) = 0.356 eV/atom
# Size of the total moment = 0.000 μB per cell
# Volume = 117.8 Å³ per cell
# Final energy = -4.732 eV per atom
data_CuSi2P
_cell_length_a 3.3887
_cell_length_b 3.3887
_cell_length_c 10.2607
_cell_angle_alpha 90.00
_cell_angle_beta 90.00
_cell_angle_gamma 90.00
_symmetry_space_group_name_H-M 'P 1'
_symmetry_Int_Tables_number 1
loop_
_symmetry_equiv_pos_as_xyz
'x,y,z'
loop_
_atom_site_label
_atom_site_type_symbol
_atom_site_fract_x
_atom_site_fract_y
_atom_site_fract_z
Cu1 Cu 0.5000 0.5000 0.0000
Si1 Si 0.5000 0.5000 0.5000
Si2 Si 0.0000 0.0000 0.5000
P1 P 0.0000 0.5000 0.2709
P2 P 0.5000 0.0000 0.7291
Cu2 Cu 0.0000 0.0000 0.0000
Si3 Si 0.0000 0.5000 0.8092
Si4 Si 0.5000 0.0000 0.1908

# Li6CaTl2, optimized geometry, DFT GGA-PBE
# Size of the total moment = 0.000 μB per cell
# Energy above the lowest structure with this stoichiometry = 0.00 kJ per mole of atoms
# ΔH_f (0 K) = -210.0 meV/atom
# Volume = 182.1 Å³ per cell
# Final energy = -2.234 eV per atom
data_Li6CaTl2
_cell_length_a 4.8127
_cell_length_b 4.8124
_cell_length_c 9.0770
_cell_angle_alpha 90.01
_cell_angle_beta 90.00
_cell_angle_gamma 120.00
_symmetry_space_group_name_H-M 'P 1'
_symmetry_Int_Tables_number 1
loop_
_symmetry_equiv_pos_as_xyz
'x,y,z'
loop_
_atom_site_label
_atom_site_type_symbol
_atom_site_fract_x
_atom_site_fract_y
_atom_site_fract_z
Li1 Li 0.3333 0.6667 0.0627
Li2 Li 0.0000 0.0000 0.8440
Li3 Li 0.3333 0.6667 0.3580
Li4 Li 0.6667 0.3333 0.6420
Tl1 Tl 0.3333 0.6667 0.7399
Tl2 Tl 0.6667 0.3333 0.2601
Li5 Li 0.0000 0.0000 0.1560
Ca1 Ca 0.0000 0.0000 0.5000
Li6 Li 0.6667 0.3333 0.9373

| no. | density of states at the Fermi level (states/eV/cell) |
| --- | --- |
| 1 | 4.62 |
| 2 | 13.07 |
| 3 | 27.08 |
| 4 | 7.77 |
| 5 | 4.88 |
| 6 | 2.25 |
| 7 | 2.79 |